1.
Below is a relaxed KFeCo2 crystal, with properties calculated at the PBE-GGA level.

**Space-group type**: C2/m, No. 12
**Total magnetic moment**: 11.9 μB per cell
**Relative energy among the computed polymorphs**: 505.2 meV per atom

Unit cell a=5.6874 b=8.7790 c=2.5464 alpha=90.00 beta=105.57 gamma=90.00
Last column: nearest neighbours and their distance in Å.
Fractional positions:
1 K 0.0000 0.0000 0.0000  2 K 2.55, 4 Co 2.74, 2 Fe 2.84
2 K 0.5000 0.5000 0.0000  2 K 2.55, 4 Co 2.74, 2 Fe 2.84
3 Fe 0.0000 0.5000 0.0000  2 Fe 2.55, 4 Co 2.74, 2 K 2.84
4 Fe 0.5000 0.0000 0.0000  2 Fe 2.55, 4 Co 2.74, 2 K 2.84
5 Co 0.2500 0.2500 0.5000  4 Co 2.55-2.84, 2 K 2.74, 2 Fe 2.74
6 Co 0.2500 0.7500 0.5000  4 Co 2.55-2.84, 2 K 2.74, 2 Fe 2.74
7 Co 0.7500 0.2500 0.5000  4 Co 2.55-2.84, 2 K 2.74, 2 Fe 2.74
8 Co 0.7500 0.7500 0.5000  4 Co 2.55-2.84, 2 Fe 2.74, 2 K 2.74

2.
Below is a relaxed Ac4Ag2Ru crystal, with properties calculated at the PBE-GGA level.

**Space-group type**: I4/mmm, No. 139
**Total magnetic moment**: 0.0 μB per cell
**Relative energy among the computed polymorphs**: 118.1 meV per atom

Unit cell a=5.5844 b=5.5844 c=16.2051 alpha=90.00 beta=90.00 gamma=90.00
Last column: nearest neighbours and their distance in Å.
Fractional positions:
1 Ac 0.0000 0.0000 0.1839  1 Ru 2.98, 1 Ag 3.16
2 Ac 0.0000 0.0000 0.8161  1 Ru 2.98, 1 Ag 3.16
3 Ac 0.0000 0.5000 0.0000  2 Ru 2.79
4 Ac 0.0000 0.5000 0.5000  2 Ru 2.79
5 Ac 0.5000 0.0000 0.0000  2 Ru 2.79
6 Ac 0.5000 0.0000 0.5000  2 Ru 2.79
7 Ac 0.5000 0.5000 0.3161  1 Ru 2.98, 1 Ag 3.16
8 Ac 0.5000 0.5000 0.6839  1 Ru 2.98, 1 Ag 3.16
9 Ag 0.0000 0.0000 0.3790  5 Ac 3.16-3.41
10 Ag 0.0000 0.0000 0.6210  5 Ac 3.16-3.41
11 Ag 0.5000 0.5000 0.1210  5 Ac 3.16-3.41
12 Ag 0.5000 0.5000 0.8790  5 Ac 3.16-3.41
13 Ru 0.0000 0.0000 0.0000  6 Ac 2.79-2.98
14 Ru 0.5000 0.5000 0.5000  6 Ac 2.79-2.98

3.
Below is a relaxed Tb12Pr6Nd crystal, with properties calculated at the PBE-GGA level.

**Space-group type**: R-3m, No. 166
**Total magnetic moment**: 0.0 μB per cell
**Relative energy among the computed polymorphs**: 93.2 meV per atom

Unit cell a=8.8266 b=8.8266 c=8.8266 alpha=98.75 beta=98.75 gamma=98.75
Last column: nearest neighbours and their distance in Å.
Fractional positions:
1 Tb 0.0000 0.2567 0.7433  6 Tb 3.38-3.56, 4 Pr 3.52-3.61
2 Tb 0.0000 0.7433 0.2567  6 Tb 3.38-3.56, 4 Pr 3.52-3.61
3 Tb 0.1435 0.1435 0.4182  6 Tb 3.38-3.68, 2 Pr 3.75
4 Tb 0.1435 0.4182 0.1435  6 Tb 3.38-3.68, 2 Pr 3.75
5 Tb 0.2567 0.0000 0.7433  6 Tb 3.38-3.56, 4 Pr 3.52-3.61
6 Tb 0.2567 0.7433 0.0000  6 Tb 3.38-3.56, 4 Pr 3.52-3.61
7 Tb 0.4182 0.1435 0.1435  6 Tb 3.38-3.68, 2 Pr 3.75
8 Tb 0.5818 0.8565 0.8565  6 Tb 3.38-3.68, 2 Pr 3.75
9 Tb 0.7433 0.0000 0.2567  6 Tb 3.38-3.56, 4 Pr 3.52-3.61
10 Tb 0.7433 0.2567 0.0000  6 Tb 3.38-3.56, 4 Pr 3.52-3.61
11 Tb 0.8565 0.5818 0.8565  6 Tb 3.38-3.68, 2 Pr 3.75
12 Tb 0.8565 0.8565 0.5818  6 Tb 3.38-3.68, 2 Pr 3.75
13 Pr 0.1558 0.5976 0.5976  1 Pr 3.12, 1 Nd 3.48
14 Pr 0.4024 0.4024 0.8442  1 Pr 3.12, 1 Nd 3.48
15 Pr 0.4024 0.8442 0.4024  1 Pr 3.12, 1 Nd 3.48
16 Pr 0.5976 0.1558 0.5976  1 Pr 3.12, 1 Nd 3.48
17 Pr 0.5976 0.5976 0.1558  1 Pr 3.12, 1 Nd 3.48
18 Pr 0.8442 0.4024 0.4024  1 Pr 3.12, 1 Nd 3.48
19 Nd 0.5000 0.5000 0.5000  6 Pr 3.48

4.
Below is a relaxed Te4RuBr crystal, with properties calculated at the PBE-GGA level.

**Space-group type**: F-43m, No. 216
**Total magnetic moment**: 3.0 μB per cell
**DFT total energy**: -3.018 eV per atom

Unit cell a=6.2641 b=6.2641 c=6.2641 alpha=60.00 beta=60.00 gamma=60.00
Last column: nearest neighbours and their distance in Å.
Fractional positions:
1 Te 0.1250 0.1250 0.1250  6 Te 3.13
2 Te 0.1250 0.1250 0.6250  6 Te 3.13
3 Te 0.1250 0.6250 0.1250  6 Te 3.13
4 Te 0.6250 0.1250 0.1250  6 Te 3.13
5 Ru 0.5000 0.5000 0.5000  12 Te 3.67, 4 Br 3.84
6 Br 0.7500 0.7500 0.7500  12 Te 3.67, 4 Ru 3.84

5.
Below is a relaxed AlCdSnF6 crystal, with properties calculated at the PBE-GGA level.

**Space-group type**: P1, No. 1
**Total magnetic moment**: 0.0 μB per cell
**DFT total energy**: -4.818 eV per atom

Unit cell a=4.9238 b=5.3144 c=5.5634 alpha=85.07 beta=71.86 gamma=73.71
Last column: nearest neighbours and their distance in Å.
Fractional positions:
1 Al 0.0000 0.0000 0.0000  6 F 1.78-1.86
2 Cd 0.3317 0.3857 0.3683  1 F 2.22
3 Sn 0.6523 0.6350 0.6300  4 F 2.13-2.37
4 F 0.1830 0.1311 0.1680  1 Al 1.78
5 F 0.2562 0.6693 0.9983  1 Al 1.85
6 F 0.2780 0.0219 0.6922  1 Al 1.85
7 F 0.7403 0.9409 0.2993  1 Al 1.82
8 F 0.7599 0.3234 0.9728  1 Al 1.82
9 F 0.7968 0.8676 0.8322  1 Al 1.86

6.
Below is a relaxed Ho4ZrAg5 crystal, with properties calculated at the PBE-GGA level.

**Space-group type**: P4/mmm, No. 123
**Total magnetic moment**: 1.0 μB per cell
**DFT total energy**: -4.358 eV per atom

Unit cell a=3.5683 b=3.5683 c=18.0789 alpha=90.00 beta=90.00 gamma=90.00
Last column: nearest neighbours and their distance in Å.
Fractional positions:
1 Ho 0.0000 0.0000 0.1026  8 Ag 3.13
2 Ho 0.0000 0.0000 0.3068  8 Ag 3.12-3.13, 1 Zr 3.49
3 Ho 0.0000 0.0000 0.6932  8 Ag 3.12-3.13, 1 Zr 3.49
4 Ho 0.0000 0.0000 0.8974  8 Ag 3.13
5 Zr 0.0000 0.0000 0.5000  8 Ag 3.02
6 Ag 0.5000 0.5000 0.0000  8 Ho 3.13
7 Ag 0.5000 0.5000 0.2046  8 Ho 3.13
8 Ag 0.5000 0.5000 0.4086  4 Zr 3.02, 4 Ho 3.12, 1 Ag 3.31
9 Ag 0.5000 0.5000 0.5914  4 Zr 3.02, 4 Ho 3.12, 1 Ag 3.31
10 Ag 0.5000 0.5000 0.7954  8 Ho 3.13

7.
Below is a relaxed CsLa2TaPd crystal, with properties calculated at the PBE-GGA level.

**Space-group type**: P4/mmm, No. 123
**Total magnetic moment**: 3.1 μB per cell
**DFT total energy**: -3.890 eV per atom

Unit cell a=5.8394 b=5.8394 c=4.9920 alpha=90.00 beta=90.00 gamma=90.00
Last column: nearest neighbours and their distance in Å.
Fractional positions:
1 Cs 0.0000 0.0000 0.0000  2 Pd 2.50
2 La 0.0000 0.5000 0.0000  2 Cs 2.92
3 La 0.5000 0.0000 0.0000  2 Cs 2.92
4 Ta 0.5000 0.5000 0.5000  8 La 3.84, 4 Pd 4.13
5 Pd 0.0000 0.0000 0.5000  2 Cs 2.50

8.
Below is a relaxed CsVCl6 crystal, with properties calculated at the PBE-GGA level.

**Space-group type**: C2/m, No. 12
**Total magnetic moment**: 0.0 μB per cell
**DFT total energy**: -3.881 eV per atom

Unit cell a=11.1258 b=7.1194 c=8.2496 alpha=90.00 beta=125.73 gamma=90.00
Last column: nearest neighbours and their distance in Å.
Fractional positions:
1 Cs 0.0000 0.0000 0.0000  10 Cl 3.72-3.88
2 Cs 0.5000 0.5000 0.0000  10 Cl 3.72-3.88
3 V 0.0000 0.5000 0.5000  6 Cl 2.26-2.29
4 V 0.5000 0.0000 0.5000  6 Cl 2.26-2.29
5 Cl 0.1302 0.2718 0.7370  1 V 2.29
6 Cl 0.1302 0.7282 0.7370  1 V 2.29
7 Cl 0.1721 0.5000 0.4374  1 V 2.26
8 Cl 0.3279 0.0000 0.5626  1 V 2.26
9 Cl 0.3698 0.2282 0.2630  1 V 2.29
10 Cl 0.3698 0.7718 0.2630  1 V 2.29
11 Cl 0.6302 0.2282 0.7370  1 V 2.29
12 Cl 0.6302 0.7718 0.7370  1 V 2.29
13 Cl 0.6721 0.0000 0.4374  1 V 2.26
14 Cl 0.8279 0.5000 0.5626  1 V 2.26
15 Cl 0.8698 0.2718 0.2630  1 V 2.29
16 Cl 0.8698 0.7282 0.2630  1 V 2.29

9.
Below is a relaxed SiSbP crystal, with properties calculated at the PBE-GGA level.

**Space-group type**: P4/nmm, No. 129
**Total magnetic moment**: 0.0 μB per cell
**Relative energy among the computed polymorphs**: 0.0 meV per atom

Unit cell a=4.4078 b=4.4078 c=7.0037 alpha=90.00 beta=90.00 gamma=90.00
Last column: nearest neighbours and their distance in Å.
Fractional positions:
1 Si 0.2500 0.2500 0.1262  4 P 2.37, 1 Sb 2.61
2 Si 0.7500 0.7500 0.8738  4 P 2.37, 1 Sb 2.61
3 Sb 0.2500 0.2500 0.4991  1 Si 2.61
4 Sb 0.7500 0.7500 0.5009  1 Si 2.61
5 P 0.2500 0.7500 0.0000  4 Si 2.37
6 P 0.7500 0.2500 0.0000  4 Si 2.37

10.
Below is a relaxed RbFeCl5 crystal, with properties calculated at the PBE-GGA level.

**Space-group type**: C2/c, No. 15
**Total magnetic moment**: 11.7 μB per cell
**DFT total energy**: -3.505 eV per atom

Unit cell a=12.4185 b=12.4185 c=6.0704 alpha=103.98 beta=103.98 gamma=31.83
Last column: nearest neighbours and their distance in Å.
Fractional positions:
1 Rb 0.0000 0.5000 0.0000  8 Cl 3.30-3.69
2 Rb 0.5000 0.0000 0.5000  8 Cl 3.30-3.69
3 Fe 0.1697 0.8303 0.2500  3 Cl 2.14-2.22
4 Fe 0.8303 0.1697 0.7500  3 Cl 2.14-2.22
5 Cl 0.0475 0.5640 0.5551  1 Cl 2.58
6 Cl 0.1558 0.8442 0.7500  1 Fe 2.22
7 Cl 0.2427 0.5958 0.1703  1 Fe 2.14
8 Cl 0.4042 0.7573 0.3297  1 Fe 2.14
9 Cl 0.4360 0.9525 0.9449  1 Cl 2.58
10 Cl 0.5640 0.0475 0.0551  1 Cl 2.58
11 Cl 0.5958 0.2427 0.6703  1 Fe 2.14
12 Cl 0.7573 0.4042 0.8297  1 Fe 2.14
13 Cl 0.8442 0.1558 0.2500  1 Fe 2.22
14 Cl 0.9525 0.4360 0.4449  1 Cl 2.58

11.
Below is a relaxed Pu2TaGe4Rh3 crystal, with properties calculated at the PBE-GGA level.

**Space-group type**: P-4m2, No. 115
**Total magnetic moment**: 10.4 μB per cell
**DFT total energy**: -8.639 eV per atom

Unit cell a=4.1434 b=4.1434 c=10.8561 alpha=90.00 beta=90.00 gamma=90.00
Last column: nearest neighbours and their distance in Å.
Fractional positions:
1 Pu 0.0000 0.5000 0.2445  8 Ge 3.15-3.37, 6 Rh 3.20-3.46, 2 Ta 3.46
2 Pu 0.5000 0.0000 0.7555  8 Ge 3.15-3.37, 6 Rh 3.20-3.46, 2 Ta 3.46
3 Ta 0.0000 0.0000 0.5000  4 Ge 2.63, 4 Rh 2.93
4 Ge 0.0000 0.0000 0.0000  4 Rh 2.48
5 Ge 0.0000 0.5000 0.6488  3 Rh 2.46-2.63, 2 Ta 2.63
6 Ge 0.5000 0.0000 0.3512  3 Rh 2.46-2.63, 2 Ta 2.63
7 Ge 0.5000 0.5000 0.0000  4 Rh 2.48
8 Rh 0.0000 0.5000 0.8752  5 Ge 2.46-2.48
9 Rh 0.5000 0.0000 0.1248  5 Ge 2.46-2.48
10 Rh 0.5000 0.5000 0.5000  4 Ge 2.63, 4 Ta 2.93

12.
Below is a relaxed BeV3B4 crystal, with properties calculated at the PBE-GGA level.

**Space-group type**: Immm, No. 71
**Total magnetic moment**: 0.0 μB per cell
**DFT total energy**: -7.543 eV per atom

Unit cell a=3.0662 b=4.4523 c=10.8706 alpha=90.00 beta=90.00 gamma=90.00
Last column: nearest neighbours and their distance in Å.
Fractional positions:
1 Be 0.0000 0.0000 0.0000  4 B 1.95
2 Be 0.5000 0.5000 0.5000  4 B 1.95
3 V 0.0000 0.0000 0.5000  8 B 2.23
4 V 0.0000 0.5000 0.3104  6 B 2.16-2.18
5 V 0.0000 0.5000 0.6896  6 B 2.16-2.18
6 V 0.5000 0.0000 0.1896  6 B 2.16-2.18
7 V 0.5000 0.0000 0.8104  6 B 2.16-2.18
8 V 0.5000 0.5000 0.0000  8 B 2.23
9 B 0.0000 0.3109 0.1270  1 B 1.68
10 B 0.0000 0.3109 0.8730  1 B 1.68
11 B 0.0000 0.6891 0.1270  1 B 1.68
12 B 0.0000 0.6891 0.8730  1 B 1.68
13 B 0.5000 0.1891 0.3730  1 B 1.68
14 B 0.5000 0.1891 0.6270  1 B 1.68
15 B 0.5000 0.8109 0.3730  1 B 1.68
16 B 0.5000 0.8109 0.6270  1 B 1.68

Number 11 is which compound? Pu2TaGe4Rh3

Which value of total magnetic moment does entry 12 give? 0.0 μB per cell